(1)
# CoBMoOs PBE optimized geometry
# ρ	12.0	g cm⁻³
# symmetry	No. 216
# energy	-33.87	eV for the cell shown
# magnetic moment	0.473	μB per atom
# crystal system	cubic
data_CoBMoOs
_cell_length_a 4.120
_cell_length_b 4.120
_cell_length_c 4.120
_cell_angle_alpha 60.00
_cell_angle_beta 60.00
_cell_angle_gamma 60.00
_space_group_name_H-M_alt 'P 1'
_space_group_IT_number 1
loop_
_space_group_symop_operation_xyz
'x,y,z'
loop_
_atom_site_label
_atom_site_fract_x
_atom_site_fract_y
_atom_site_fract_z
Co1 0.000 0.000 0.000
B1 0.750 0.750 0.750
Mo1 0.250 0.250 0.250
Os1 0.500 0.500 0.500

(2)
# KHfZr PBE optimized geometry
# ρ	5.7	g cm⁻³
# symmetry	No. 216
# energy	-13.21	eV for the cell shown
# magnetic moment	0.020	μB per atom
# crystal system	cubic
data_KHfZr
_cell_length_a 5.040
_cell_length_b 5.040
_cell_length_c 5.040
_cell_angle_alpha 60.00
_cell_angle_beta 60.00
_cell_angle_gamma 60.00
_space_group_name_H-M_alt 'P 1'
_space_group_IT_number 1
loop_
_space_group_symop_operation_xyz
'x,y,z'
loop_
_atom_site_label
_atom_site_fract_x
_atom_site_fract_y
_atom_site_fract_z
K1 0.000 0.000 0.000
Hf1 0.750 0.750 0.750
Zr1 0.250 0.250 0.250